First-principles (PBE+U) data for a relaxed structure of TiMnAgF6, as listed in the Alexandria database.

a b c (Å): 5.569 5.569 10.296
angles (deg): 90.00 90.00 120.00
Site moments in Bohr magnetons follow the coordinates.
Sites, in units of the cell vectors:
F (0.979, 0.621, 0.356)  0.02
Ti (0.667, 0.333, 0.250)  0.91
Mn (0.333, 0.667, 0.250)  4.69
Ag (0.000, 0.000, 0.500)  0.01
F (0.379, 0.358, 0.356)  0.02
F (0.621, 0.642, 0.644)  0.02
Ti (0.333, 0.667, 0.750)  0.91
F (0.021, 0.379, 0.644)  0.02
Ag (0.000, 0.000, 0.000)  0.01
F (0.642, 0.021, 0.356)  0.02
F (0.621, 0.979, 0.856)  0.02
F (0.379, 0.021, 0.144)  0.02
F (0.979, 0.358, 0.144)  0.02
F (0.021, 0.642, 0.856)  0.02
F (0.358, 0.379, 0.856)  0.02
F (0.358, 0.979, 0.644)  0.02
F (0.642, 0.621, 0.144)  0.02
Mn (0.667, 0.333, 0.750)  4.69

Calculated values
DFT total energy in eV per atom: -5.8261